This record from Alexandria describes crystalline MgMo2O7 at its relaxed geometry. The functional is PBE+U.

Its excess energy over the best structure of this formula in the dataset is 0 meV/atom. The calculation puts the density of states at the Fermi level at 0.0 states/eV per cell.

```
MgMo2O7
1.0
5.787 0.000 0.000
0.000 8.296 -0.007
0.000 6.515 14.067
Mo O Mg
8 28 4
direct
0.628 0.754 0.861
0.865 0.292 0.376
0.872 0.754 0.361
0.135 0.708 0.624
0.128 0.246 0.639
0.365 0.708 0.124
0.635 0.292 0.876
0.372 0.246 0.139
0.677 0.353 0.756
0.869 0.822 0.594
0.631 0.822 0.094
0.629 0.506 0.896
0.371 0.494 0.104
0.109 0.815 0.414
0.884 0.878 0.237
0.134 0.861 0.061
0.129 0.494 0.604
0.369 0.178 0.906
0.117 0.188 0.097
0.871 0.506 0.396
0.609 0.185 0.086
0.883 0.812 0.903
0.116 0.122 0.763
0.323 0.647 0.244
0.891 0.185 0.586
0.384 0.122 0.263
0.616 0.878 0.737
0.366 0.861 0.561
0.866 0.139 0.939
0.617 0.812 0.403
0.131 0.178 0.406
0.177 0.647 0.744
0.634 0.139 0.439
0.391 0.815 0.914
0.823 0.353 0.256
0.383 0.188 0.597
0.873 0.009 0.091
0.373 0.991 0.409
0.127 0.991 0.909
0.627 0.009 0.591
```